A | KReTe3 | PBE | optimized geometry

The calculation puts the total magnetic moment at 0.000 μB/cell. For the density of states at the Fermi level, the calculation gives 4.59 states/eV/cell. As for the space group: No. 11.

abc: 4.1591 8.6531 9.9957
angles: 122.33 90.00 90.00
Last column: nearest neighbours and their distance in Å.
Sites, in units of the cell vectors:
Te: 0.6955 0.7220 0.0576  2 Re 2.78
K: 0.1955 0.3854 0.0408  8 Te 3.51-3.86
Re: 0.6955 0.6232 0.6367  6 Te 2.59-2.78
Te: 0.6955 0.9662 0.8610  3 Re 2.59-2.76
Re: 0.1955 0.7984 0.9174  6 Te 2.59-2.78
Te: 0.1955 0.6996 0.4965  2 Re 2.78
Te: 0.6955 0.3581 0.3238  1 Re 2.71, 2 Te 3.02
K: 0.6955 0.0361 0.5133  8 Te 3.51-3.86
Te: 0.1955 0.4553 0.6930  3 Re 2.59-2.76
Te: 0.1955 0.0635 0.2303  1 Re 2.71, 2 Te 3.02

***

B | KReTe3 | PBE | optimized geometry

The calculation puts the total magnetic moment at 0.196 μB/cell. For the density of states at the Fermi level, the calculation gives 10.48 states/eV/cell. As for the space group: No. 221.

abc: 5.7481 5.7481 5.7481
angles: 90.00 90.00 90.00
Last column: nearest neighbours and their distance in Å.
Sites, in units of the cell vectors:
K: 0.0000 0.0000 0.0000  6 Te 2.87
Te: 0.0000 0.0000 0.5000  2 K 2.87
Te: 0.5000 0.0000 0.0000  2 K 2.87
Re: 0.5000 0.5000 0.5000  12 Te 4.06
Te: 0.0000 0.5000 0.0000  2 K 2.87

***

C | KReTe3 | PBE | optimized geometry

The calculation puts the total magnetic moment at 1.795 μB/cell. For the density of states at the Fermi level, the calculation gives 5.67 states/eV/cell. As for the space group: No. 221.

abc: 5.4344 5.4344 5.4344
angles: 90.00 90.00 90.00
Last column: nearest neighbours and their distance in Å.
Sites, in units of the cell vectors:
Re: 0.0000 0.0000 0.0000  6 Te 2.72
K: 0.5000 0.5000 0.5000  12 Te 3.84
Te: 0.5000 0.0000 0.0000  2 Re 2.72
Te: 0.0000 0.0000 0.5000  2 Re 2.72
Te: 0.0000 0.5000 0.0000  2 Re 2.72

***

Energy ordering: A at the bottom, the next structure 0.440 eV/atom above.

***

A | K2ReTe2 | PBE | optimized geometry

The calculation puts the total magnetic moment at 9.885 μB/cell. For the density of states at the Fermi level, the calculation gives 4.46 states/eV/cell. As for the space group: No. 127.

abc: 10.3045 10.3045 3.2170
angles: 90.00 90.00 90.00
Last column: nearest neighbours and their distance in Å.
Sites, in units of the cell vectors:
Te: 0.8304 0.3304 0.5000  2 Te 3.22, 6 K 3.35-3.49
K: 0.6285 0.1285 0.0000  2 K 3.22, 6 Te 3.35-3.49
Re: 0.0000 0.0000 0.0000  2 Re 3.22
K: 0.3715 0.8715 0.0000  2 K 3.22, 6 Te 3.35-3.49
K: 0.8715 0.6285 0.0000  2 K 3.22, 6 Te 3.35-3.49
K: 0.1285 0.3715 0.0000  2 K 3.22, 6 Te 3.35-3.49
Te: 0.3304 0.1696 0.5000  2 Te 3.22, 6 K 3.35-3.49
Te: 0.6696 0.8304 0.5000  2 Te 3.22, 6 K 3.35-3.49
Te: 0.1696 0.6696 0.5000  2 Te 3.22, 6 K 3.35-3.49
Re: 0.5000 0.5000 0.0000  2 Re 3.22

***

B | K2ReTe2 | PBE | optimized geometry

The calculation puts the total magnetic moment at 4.130 μB/cell. For the density of states at the Fermi level, the calculation gives 5.78 states/eV/cell. As for the space group: No. 139.

abc: 4.4766 4.4766 10.2129
angles: 77.34 77.34 90.00
Last column: nearest neighbours and their distance in Å.
Sites, in units of the cell vectors:
Re: 0.0000 0.0000 0.0000  8 K 3.78
Te: 0.7500 0.2500 0.5000  4 Te 3.17
K: 0.3935 0.3935 0.2129  4 Te 3.57, 4 Re 3.78
K: 0.6065 0.6065 0.7871  4 Te 3.57, 4 Re 3.78
Te: 0.2500 0.7500 0.5000  4 Te 3.17

***

Energy ordering: A at the bottom, the next structure 0.222 eV/atom above.